The following is a DFT calculation (PBE with a Hubbard U) of a relaxed MgWOF2 crystal.

Values from the calculation:
Energy relative to the lowest polymorph listed for this composition = 223 meV per atom
Energy = -5.108 eV per atom

a b c (Å): 4.281 4.281 4.243
angles (deg): 90.00 90.00 90.00
Atoms (fractional coordinates):
Mg 0.000 0.000 0.000
W 0.500 0.500 0.500
O 0.500 0.500 0.000
F 0.000 0.500 0.500
F 0.500 0.000 0.500